Entry 1:
VASP calculation (GGA-PBEsol) on RbCa2Ag after structural relaxation.

Structure (CIF):
```
data_RbCa2Ag
_chemical_formula_sum 'Rb4 Ca8 Ag4'
_space_group_name_H-M_alt 'F m -3 m'
_space_group_IT_number 225
_space_group_name_Hall '-F 4 2 3'
_cell_length_a 8.0640
_cell_length_b 8.0640
_cell_length_c 8.0640
_cell_angle_alpha 90.00
_cell_angle_beta 90.00
_cell_angle_gamma 90.00
loop_
_atom_site_label
_atom_site_fract_x
_atom_site_fract_y
_atom_site_fract_z
Rb1 0.0000 0.0000 0.0000
Ca1 0.2500 0.2500 0.2500
Ag1 0.0000 0.0000 0.5000
```


Entry 2:
VASP calculation (GGA-PBEsol) on RbCa3Ag after structural relaxation.

Structure (CIF):
```
data_RbCa3Ag
_chemical_formula_sum 'Rb1 Ca3 Ag1'
_space_group_name_H-M_alt 'P m -3 m'
_space_group_IT_number 221
_space_group_name_Hall '-P 4 2 3'
_cell_length_a 5.9320
_cell_length_b 5.9320
_cell_length_c 5.9320
_cell_angle_alpha 90.00
_cell_angle_beta 90.00
_cell_angle_gamma 90.00
loop_
_atom_site_label
_atom_site_fract_x
_atom_site_fract_y
_atom_site_fract_z
Rb1 0.0000 0.0000 0.0000
Ca1 0.0000 0.5000 0.5000
Ag1 0.5000 0.5000 0.5000
```


Entry 3:
VASP calculation (GGA-PBEsol) on CaReAg3 after structural relaxation.

Structure (CIF):
```
data_CaReAg3
_chemical_formula_sum 'Ca1 Re1 Ag3'
_space_group_name_H-M_alt 'P m -3 m'
_space_group_IT_number 221
_space_group_name_Hall '-P 4 2 3'
_cell_length_a 4.8345
_cell_length_b 4.8345
_cell_length_c 4.8345
_cell_angle_alpha 90.00
_cell_angle_beta 90.00
_cell_angle_gamma 90.00
loop_
_atom_site_label
_atom_site_fract_x
_atom_site_fract_y
_atom_site_fract_z
Ca1 0.0000 0.0000 0.0000
Re1 0.5000 0.5000 0.5000
Ag1 0.0000 0.0000 0.5000
```


Entry 4:
VASP calculation (GGA-PBEsol) on CaRe2Ag after structural relaxation.

**Distance to the lowest polymorph of the same formula**: 17.0 kJ per mole of atoms

Structure (CIF):
```
data_CaRe2Ag
_chemical_formula_sum 'Ca2 Re4 Ag2'
_space_group_name_H-M_alt 'I 4/m m m'
_space_group_IT_number 139
_space_group_name_Hall '-I 4 2'
_cell_length_a 3.7786
_cell_length_b 3.7786
_cell_length_c 9.7467
_cell_angle_alpha 90.00
_cell_angle_beta 90.00
_cell_angle_gamma 90.00
loop_
_atom_site_label
_atom_site_fract_x
_atom_site_fract_y
_atom_site_fract_z
Ca1 0.0000 0.0000 0.0000
Re1 0.0000 0.5000 0.2500
Ag1 0.0000 0.0000 0.5000
```


Number 1: formation enthalpy at 0 K 21.0 kJ/mol of atoms, magnetization 0.003 μB per formula unit, VASP energy -30.92 eV per cell. Number 2: formation enthalpy at 0 K 0.6 kJ/mol of atoms, magnetization 0.000 μB per formula unit, VASP energy -10.70 eV per cell. Number 3: formation enthalpy at 0 K 198.0 kJ/mol of atoms, magnetization 2.650 μB per formula unit, VASP energy -15.14 eV per cell. Number 4: formation enthalpy at 0 K 75.2 kJ/mol of atoms, magnetization 0.000 μB per formula unit, VASP energy -57.98 eV per cell.